# 1
SrSb2Ir | PBEsol | optimized geometry

Computed properties:
total DFT energy (no corrections): -5.768 eV/atom
total magnetization: 0.00 μB/cell
uncorrected formation energy: -0.573 eV/atom
D(E_F): 0.417 states/eV per atom

Cell lengths 4.2951, 4.2951, 19.2544 Å; angles 90.00, 90.00, 120.00 degrees
Space group R3m (No. 160, hexagonal axes)
Inequivalent atoms, fractional coordinates:
Sr1 0.0000 0.0000 0.0000 (multiplicity 3)
Sb1 0.0000 0.0000 0.2161 (multiplicity 3)
Sb2 0.0000 0.0000 0.4392 (multiplicity 3)
Ir1 0.0000 0.0000 0.8229 (multiplicity 3)

# 2
VO2F | PBEsol | optimized geometry

Computed properties:
total DFT energy (no corrections): -7.875 eV/atom
total magnetization: 0.00 μB/cell
uncorrected formation energy: -2.360 eV/atom
D(E_F): 0.000 states/eV per atom

Cell lengths 10.361, 3.133, 4.097 Å; angles 90.00, 111.44, 90.00 degrees
Space group Cm (No. 8)
Inequivalent atoms, fractional coordinates:
V1 0.000 0.000 0.000 (multiplicity 2)
O1 0.002 0.000 0.392 (multiplicity 2)
O2 0.424 0.000 0.829 (multiplicity 2)
F1 0.176 0.000 0.070 (multiplicity 2)

Please write out number 2 again, unchanged.
VO2F | PBEsol | optimized geometry

Computed properties:
total DFT energy (no corrections): -7.875 eV/atom
total magnetization: 0.00 μB/cell
uncorrected formation energy: -2.360 eV/atom
D(E_F): 0.000 states/eV per atom

Cell lengths 10.361, 3.133, 4.097 Å; angles 90.00, 111.44, 90.00 degrees
Space group Cm (No. 8)
Inequivalent atoms, fractional coordinates:
V1 0.000 0.000 0.000 (multiplicity 2)
O1 0.002 0.000 0.392 (multiplicity 2)
O2 0.424 0.000 0.829 (multiplicity 2)
F1 0.176 0.000 0.070 (multiplicity 2)

Which value of total magnetization does entry 1 give?
0.00 μB/cell

Look up the D(E_F) of the first one.
0.417 states/eV per atom

What is the uncorrected formation energy in the first record?
-0.573 eV/atom